NbSnOF2 at its PBEsol-relaxed geometry, computed with SCAN.

Cell and atoms, written as POSCAR:
```
NbSnOF2
1.0
-3.234 1.620 1.626
-0.900 -3.789 1.986
2.365 1.250 3.458
O Sn F Nb
1 1 2 1
direct
0.500 0.000 0.000
0.500 0.500 0.500
0.000 0.000 0.500
0.000 0.500 0.000
0.000 0.000 0.000
```

**Raw formation energy**: -1.74 eV per atom
**Crystal system**: tetragonal

=====

YCrIr2 at its PBEsol-relaxed geometry, computed with SCAN.

Cell and atoms, written as POSCAR:
```
YCrIr2
1.0
2.947 0.000 0.000
0.000 4.666 0.007
0.000 -1.505 4.679
Ir Cr Y
2 1 1
direct
0.500 0.000 0.500
0.000 0.000 0.000
0.000 0.500 0.500
0.500 0.500 0.000
```

**Formation enthalpy at 0 K**: -48 kJ/mol of formula units
**Crystal system**: monoclinic

=====

CuAsPdSe2 at its PBEsol-relaxed geometry, computed with SCAN.

Cell and atoms, written as POSCAR:
```
CuAsPdSe2
1.0
4.597 0.000 0.000
0.000 4.971 0.000
0.000 0.000 4.971
Cu Se Pd As
1 2 1 1
direct
0.500 0.500 0.500
0.000 0.500 0.000
0.000 0.000 0.500
0.000 0.000 0.000
0.500 0.000 0.000
```

**Raw formation energy**: 0.74 eV per atom
**Crystal system**: tetragonal

=====

Ordered calculated volume results: 76; 64; 114; unit Å³ per cell.